Entry 1:
Crystalline Li2VPd9 at its relaxed geometry. Source: the Alexandria database, functional PBE.

It has space group P4/mmm (No. 123), with a = 3.890 Å, b = 3.890 Å, c = 11.697 Å, α = 90.00°, β = 90.00° and γ = 90.00°. The asymmetric unit holds Li at (0.000, 0.000, 0.165), V at (0.000, 0.000, 0.500), Pd at (0.000, 0.500, 0.000), Pd at (0.000, 0.500, 0.338), Pd at (0.500, 0.500, 0.169) and Pd at (0.500, 0.500, 0.500).

As for the crystal system: tetragonal. The density of states at the Fermi level comes out at 14.2 states/eV per cell. Its formation energy is -0.2586 eV per atom. As for the total energy: -62.79 eV/cell.

---

Entry 2:
Crystalline CeLuH2 at its relaxed geometry. Source: the Alexandria database, functional PBE.

It has space group R-3m (No. 166, hexagonal axes), with a = 3.4200 Å, b = 3.4200 Å, c = 17.3482 Å, α = 90.00°, β = 90.00° and γ = 120.00°. The asymmetric unit holds Ce at (0.0000, 0.0000, 0.0000), Lu at (0.0000, 0.0000, 0.5000) and H at (0.0000, 0.0000, 0.2441).

As for the crystal system: trigonal. The density of states at the Fermi level comes out at 15.6 states/eV per cell. As for the total energy: -55.53 eV/cell.

---

Entry 3:
Crystalline Ac2GaGe6Rh at its relaxed geometry. Source: the Alexandria database, functional PBE.

It has space group R-3m (No. 166, hexagonal axes), with a = 6.5900 Å, b = 6.5900 Å, c = 37.3059 Å, α = 90.00°, β = 90.00° and γ = 120.00°. The asymmetric unit holds Ac at (0.0000, 0.0000, 0.1213), Ac at (0.0000, 0.0000, 0.2957), Ga at (0.0000, 0.0000, 0.0000), Ga at (0.0000, 0.0000, 0.5000), Ge at (0.0655, 0.5327, 0.2877), Ge at (0.0735, 0.5368, 0.8726) and Rh at (0.0000, 0.0000, 0.4348).

As for the crystal system: trigonal. The density of states at the Fermi level comes out at 25.7 states/eV per cell. Its formation energy is -0.3995 eV per atom. As for the total energy: -301.77 eV/cell.

---

Entry 4:
Crystalline KTa3Cu at its relaxed geometry. Source: the Alexandria database, functional PBE.

It has space group Pm-3m (No. 221), with a = 4.587 Å, b = 4.587 Å, c = 4.587 Å, α = 90.00°, β = 90.00° and γ = 90.00°. The asymmetric unit holds K at (0.000, 0.000, 0.000), Ta at (0.000, 0.000, 0.500) and Cu at (0.500, 0.500, 0.500).

As for the crystal system: cubic. The density of states at the Fermi level comes out at 6.9 states/eV per cell. Its formation energy is 3.1014 eV per atom. As for the distance to the lowest polymorph of the same formula: 130.90 kJ per mole of atoms. As for the total energy: -25.24 eV/cell.

---

Entry 5:
Crystalline Ho4TlSbSe2 at its relaxed geometry. Source: the Alexandria database, functional PBE.

It has space group P2/m (No. 10), with a = 7.310 Å, b = 4.139 Å, c = 7.422 Å, α = 90.00°, β = 108.54° and γ = 90.00°. The asymmetric unit holds Ho at (0.244, 0.000, 0.236), Ho at (0.255, 0.500, 0.760), Tl at (0.500, 0.500, 0.500), Sb at (0.000, 0.000, 0.500), Se at (0.000, 0.500, 0.000) and Se at (0.500, 0.000, 0.000).

As for the crystal system: monoclinic. The formation energy from raw total energies is -1.190 eV/atom. The density of states at the Fermi level comes out at 3.4 states/eV per cell. As for the total energy: -41.29 eV/cell.

---

Entry 6:
Crystalline SrFeSe2 at its relaxed geometry. Source: the Alexandria database, functional PBE.

It has space group R-3m (No. 166, hexagonal axes), with a = 4.6922 Å, b = 4.6922 Å, c = 22.9626 Å, α = 90.00°, β = 90.00° and γ = 120.00°. The asymmetric unit holds Sr at (0.0000, 0.0000, 0.0000), Fe at (0.0000, 0.0000, 0.5000) and Se at (0.0000, 0.0000, 0.4009).

As for the crystal system: trigonal. The formation energy from raw total energies is -0.655 eV/atom. The density of states at the Fermi level comes out at 19.3 states/eV per cell. As for the distance to the lowest polymorph of the same formula: 19.83 kJ per mole of atoms. As for the total energy: -59.20 eV/cell.

---

Entry 7:
Crystalline LiReBr2 at its relaxed geometry. Source: the Alexandria database, functional PBE.

It has space group Cmmm (No. 65), with a = 7.258 Å, b = 7.472 Å, c = 3.309 Å, α = 90.00°, β = 90.00° and γ = 90.00°. The asymmetric unit holds Li at (0.000, 0.000, 0.000), Re at (0.000, 0.500, 0.000) and Br at (0.250, 0.250, 0.000).

As for the crystal system: orthorhombic. The formation energy from raw total energies is 0.437 eV/atom. The density of states at the Fermi level comes out at 4.5 states/eV per cell. As for the distance to the lowest polymorph of the same formula: 28.81 kJ per mole of atoms. As for the total energy: -31.92 eV/cell.

---

Entry 8:
Crystalline LiSiMo2 at its relaxed geometry. Source: the Alexandria database, functional PBE.

It has space group Pmmm (No. 47), with a = 2.655 Å, b = 4.055 Å, c = 5.274 Å, α = 90.00°, β = 90.00° and γ = 90.00°. The asymmetric unit holds Li at (0.000, 0.000, 0.000), Si at (0.000, 0.000, 0.500) and Mo at (0.500, 0.500, 0.253).

As for the crystal system: orthorhombic. The formation energy from raw total energies is 0.154 eV/atom. The density of states at the Fermi level comes out at 2.1 states/eV per cell. As for the total energy: -28.38 eV/cell.

---

Entry 9:
Crystalline IrRu2 at its relaxed geometry. Source: the Alexandria database, functional PBE.

It has space group P-3m1 (No. 164), with a = 2.7127 Å, b = 2.7127 Å, c = 6.6511 Å, α = 90.00°, β = 90.00° and γ = 120.00°. The asymmetric unit holds Ir at (0.0000, 0.0000, 0.0000) and Ru at (0.3333, 0.6667, 0.6616).

As for the crystal system: trigonal. The density of states at the Fermi level comes out at 4.0 states/eV per cell. Its formation energy is 0.0295 eV per atom. As for the distance to the lowest polymorph of the same formula: 7.62 kJ per mole of atoms. As for the total energy: -27.32 eV/cell.

---

Entry 10:
Crystalline KTl2Sb2 at its relaxed geometry. Source: the Alexandria database, functional PBE.

It has space group C2/m (No. 12), with a = 12.819 Å, b = 4.311 Å, c = 6.788 Å, α = 90.00°, β = 104.72° and γ = 90.00°. The asymmetric unit holds K at (0.000, 0.000, 0.000), Tl at (0.130, 0.500, 0.533) and Sb at (0.239, 0.500, 0.150).

As for the crystal system: monoclinic. The formation energy from raw total energies is -0.133 eV/atom. The density of states at the Fermi level comes out at 5.0 states/eV per cell. As for the distance to the lowest polymorph of the same formula: 3.12 kJ per mole of atoms. As for the total energy: -29.48 eV/cell.

---

Entry 11:
Crystalline CeVB at its relaxed geometry. Source: the Alexandria database, functional PBE.

It has space group P-62m (No. 189), with a = 6.7251 Å, b = 6.7251 Å, c = 3.6928 Å, α = 90.00°, β = 90.00° and γ = 120.00°. The asymmetric unit holds Ce at (0.0000, 0.4087, 0.0000), V at (0.0000, 0.7879, 0.5000), B at (0.0000, 0.0000, 0.0000) and B at (0.3333, 0.6667, 0.5000).

As for the crystal system: hexagonal. The density of states at the Fermi level comes out at 12.8 states/eV per cell. Its formation energy is 0.1073 eV per atom. As for the total energy: -64.22 eV/cell.

---

Entry 12:
Crystalline Cr4NiAs at its relaxed geometry. Source: the Alexandria database, functional PBE.

It has space group F-43m (No. 216), with a = 6.691 Å, b = 6.691 Å, c = 6.691 Å, α = 90.00°, β = 90.00° and γ = 90.00°. The asymmetric unit holds Cr at (0.124, 0.124, 0.124), Ni at (0.250, 0.250, 0.750) and As at (0.000, 0.000, 0.500).

As for the crystal system: cubic. The density of states at the Fermi level comes out at 24.8 states/eV per cell. Its formation energy is 0.3954 eV per atom. As for the total energy: -186.21 eV/cell.

---

Entry 13:
Crystalline Sm3DyHo5 at its relaxed geometry. Source: the Alexandria database, functional PBE.

It has space group C2/c (No. 15), with a = 18.094 Å, b = 6.336 Å, c = 11.466 Å, α = 90.00°, β = 111.78° and γ = 90.00°. The asymmetric unit holds Sm at (0.000, 0.000, 0.000), Sm at (0.171, 0.181, 0.375), Dy at (0.000, 0.121, 0.750), Ho at (0.000, 0.401, 0.250), Ho at (0.159, 0.313, 0.012) and Ho at (0.170, 0.293, 0.716).

As for the crystal system: monoclinic. The density of states at the Fermi level comes out at 52.1 states/eV per cell. Its formation energy is 0.2976 eV per atom. As for the distance to the lowest polymorph of the same formula: 0.00 kJ per mole of atoms. As for the total energy: -155.88 eV/cell.

---

Entry 14:
Crystalline SrTcW2 at its relaxed geometry. Source: the Alexandria database, functional PBE.

It has space group Cm (No. 8), with a = 9.812 Å, b = 3.166 Å, c = 5.927 Å, α = 90.00°, β = 104.53° and γ = 90.00°. The asymmetric unit holds Sr at (0.000, 0.000, 0.000), Tc at (0.222, 0.000, 0.645), W at (0.008, 0.500, 0.508) and W at (0.292, 0.500, 0.366).

As for the crystal system: monoclinic. The density of states at the Fermi level comes out at 8.6 states/eV per cell. Its formation energy is 0.8179 eV per atom. As for the distance to the lowest polymorph of the same formula: 13.39 kJ per mole of atoms. As for the total energy: -69.37 eV/cell.

---

Entry 15:
Crystalline Hg2BTe2 at its relaxed geometry. Source: the Alexandria database, functional PBE.

It has space group P4/mbm (No. 127), with a = 6.341 Å, b = 6.341 Å, c = 6.505 Å, α = 90.00°, β = 90.00° and γ = 90.00°. The asymmetric unit holds Hg at (0.231, 0.269, 0.000), B at (0.000, 0.000, 0.000) and Te at (0.164, 0.336, 0.500).

As for the crystal system: tetragonal. The formation energy from raw total energies is 0.527 eV/atom. The density of states at the Fermi level comes out at 4.1 states/eV per cell. As for the distance to the lowest polymorph of the same formula: 0.00 kJ per mole of atoms. As for the total energy: -21.85 eV/cell.

---

Entry 16:
Crystalline Ca2Ge4Ir3 at its relaxed geometry. Source: the Alexandria database, functional PBE.

It has space group Cmce (No. 64), with a = 5.717 Å, b = 15.162 Å, c = 7.468 Å, α = 90.00°, β = 90.00° and γ = 90.00°. The asymmetric unit holds Ca at (0.000, 0.110, 0.097), Ge at (0.000, 0.184, 0.473), Ge at (0.250, 0.061, 0.750), Ir at (0.000, 0.000, 0.500) and Ir at (0.250, 0.225, 0.750).

As for the crystal system: orthorhombic. The density of states at the Fermi level comes out at 19.5 states/eV per cell. Its formation energy is -0.5755 eV per atom. As for the distance to the lowest polymorph of the same formula: 0.00 kJ per mole of atoms. As for the total energy: -216.94 eV/cell.

---

Entry 17:
Crystalline CeDy5Y3 at its relaxed geometry. Source: the Alexandria database, functional PBE.

It has space group I4/mcm (No. 140), with a = 8.568 Å, b = 8.568 Å, c = 15.569 Å, α = 90.00°, β = 90.00° and γ = 90.00°. The asymmetric unit holds Ce at (0.000, 0.500, 0.250), Dy at (0.000, 0.000, 0.000), Dy at (0.195, 0.305, 0.141), Y at (0.000, 0.000, 0.250) and Y at (0.124, 0.376, 0.500).

As for the crystal system: tetragonal. The density of states at the Fermi level comes out at 63.4 states/eV per cell. Its formation energy is 0.2927 eV per atom. As for the total energy: -182.81 eV/cell.

---

Entry 18:
Crystalline V3Se4Cl2 at its relaxed geometry. Source: the Alexandria database, functional PBE.

It has space group P-6m2 (No. 187), with a = 3.3069 Å, b = 3.3069 Å, c = 21.0638 Å, α = 90.00°, β = 90.00° and γ = 120.00°. The asymmetric unit holds V at (0.0000, 0.0000, 0.0000), V at (0.3333, 0.6667, 0.3241), Se at (0.0000, 0.0000, 0.2477), Se at (0.0000, 0.0000, 0.4005) and Cl at (0.3333, 0.6667, 0.0729).

As for the crystal system: hexagonal. The formation energy from raw total energies is -0.753 eV/atom. The density of states at the Fermi level comes out at 5.7 states/eV per cell. As for the total energy: -51.77 eV/cell.

---

Entry 19:
Crystalline Np2Ni3P4Pt at its relaxed geometry. Source: the Alexandria database, functional PBE.

It has space group P-4m2 (No. 115), with a = 4.056 Å, b = 4.056 Å, c = 9.172 Å, α = 90.00°, β = 90.00° and γ = 90.00°. The asymmetric unit holds Np at (0.000, 0.500, 0.237), Ni at (0.000, 0.500, 0.889), Ni at (0.500, 0.500, 0.500), P at (0.000, 0.000, 0.000), P at (0.000, 0.500, 0.646), P at (0.500, 0.500, 0.000) and Pt at (0.000, 0.000, 0.500).

As for the crystal system: tetragonal. The density of states at the Fermi level comes out at 20.4 states/eV per cell. Its formation energy is -0.7011 eV per atom. As for the total energy: -77.92 eV/cell.

---

Entry 20:
Crystalline GdYTmCd at its relaxed geometry. Source: the Alexandria database, functional PBE.

It has space group F-43m (No. 216), with a = 7.700 Å, b = 7.700 Å, c = 7.700 Å, α = 90.00°, β = 90.00° and γ = 90.00°. The asymmetric unit holds Gd at (0.000, 0.000, 0.000), Y at (0.000, 0.000, 0.500), Tm at (0.250, 0.250, 0.250) and Cd at (0.250, 0.250, 0.750).

As for the crystal system: cubic. The density of states at the Fermi level comes out at 20.4 states/eV per cell. Its formation energy is -0.0443 eV per atom. As for the total energy: -104.44 eV/cell.